[1]
Entry from the Alexandria database: a relaxed structure of ErHfNb2N4 (PBE-GGA).

Values from the calculation:
The calculation puts the spin magnetization at 0.00 μB/f.u. The calculation puts the raw formation energy at -11.01 eV/f.u.

abc: 5.574 3.211 5.587
angles: 90.00 109.39 90.00
Atoms (fractional coordinates):
Er (0.000, 0.000, 0.000)
Hf (0.000, 0.500, 0.500)
Nb (0.500, 0.000, 0.500)
Nb (0.500, 0.500, 0.000)
N (0.247, 0.000, 0.739)
N (0.255, 0.500, 0.263)
N (0.745, 0.500, 0.737)
N (0.753, 0.000, 0.261)

***

[2]
Entry from the Alexandria database: a relaxed structure of PrThTe2Se (PBE-GGA).

Values from the calculation:
The calculation puts the spin magnetization at 0.00 μB/f.u. The calculation puts the raw formation energy at -7.14 eV/f.u.

abc: 4.515 4.515 15.149
angles: 90.00 90.00 90.00
Atoms (fractional coordinates):
Pr (0.250, 0.250, 0.087)
Pr (0.750, 0.750, 0.913)
Th (0.250, 0.250, 0.626)
Th (0.750, 0.750, 0.374)
Te (0.250, 0.250, 0.300)
Te (0.250, 0.250, 0.872)
Te (0.750, 0.750, 0.128)
Te (0.750, 0.750, 0.700)
Se (0.250, 0.750, 0.500)
Se (0.750, 0.250, 0.500)

***

[3]
Entry from the Alexandria database: a relaxed structure of Ho3AlHg (PBE-GGA).

Values from the calculation:
The calculation puts the spin magnetization at 0.00 μB/f.u. Its offset from the most stable computed form is 16.3 kJ/mol of atoms. As for the formation energy from the elements: -13.8 kJ/mol of atoms.

abc: 7.988 7.988 10.197
angles: 90.00 90.00 153.85
Atoms (fractional coordinates):
Ho (0.091, 0.909, 0.750)
Ho (0.352, 0.648, 0.558)
Ho (0.352, 0.648, 0.942)
Ho (0.648, 0.352, 0.058)
Ho (0.648, 0.352, 0.442)
Ho (0.909, 0.091, 0.250)
Al (0.000, 0.000, 0.000)
Al (0.000, 0.000, 0.500)
Hg (0.252, 0.748, 0.250)
Hg (0.748, 0.252, 0.750)

***

[4]
Entry from the Alexandria database: a relaxed structure of CaZnP2 (PBE-GGA).

Values from the calculation:
The calculation puts the spin magnetization at 0.00 μB/f.u. As for the formation energy from the elements: -22.6 kJ/mol of atoms.

abc: 3.090 5.003 5.065
angles: 90.00 90.00 90.00
Atoms (fractional coordinates):
Ca (0.000, 0.000, 0.000)
Zn (0.504, 0.500, 0.569)
P (0.500, 0.000, 0.500)
P (0.500, 0.500, 0.064)